! Pm2NpRuN4, optimized geometry, DFT PBE-GGA; values from VASP
&SYSTEM
  ibrav = 0, nat = 16, ntyp = 4
/
ATOMIC_SPECIES
Ru 101.07 Ru.upf
N 14.01 N.upf
Pm 145.00 Pm.upf
Np 237.00 Np.upf
ATOMIC_POSITIONS angstrom
Ru 1.6832 4.1198 8.9561
Ru 0.0000 1.7153 2.9854
N 1.6832 0.4009 2.9854
N 0.0000 0.0000 0.0000
N 0.0000 0.0000 5.9707
N 1.6832 2.5205 10.2547
N 0.0000 3.3146 1.6867
N 0.0000 5.4341 8.9561
N 0.0000 3.3146 4.2840
N 1.6832 2.5205 7.6575
Pm 1.6832 1.5298 0.6032
Pm 0.0000 4.3053 11.3382
Pm 0.0000 4.3053 6.5740
Pm 1.6832 1.5298 5.3675
Np 1.6832 4.5099 2.9854
Np 0.0000 1.3252 8.9561
CELL_PARAMETERS angstrom
3.3665 0.0000 0.0000
-1.6832 5.8351 0.0000
0.0000 0.0000 11.9415
! E_tot (eV/atom): -8.929
! Density (g/cm3): 9.69
! Uncorrected formation energy (eV per atom): -0.802
! Fermi-level density of states (states/eV/cell): 10.413


! LaTmGa2Au2, optimized geometry, DFT PBE-GGA; values from VASP
&SYSTEM
  ibrav = 0, nat = 6, ntyp = 4
/
ATOMIC_SPECIES
Ga 69.72 Ga.upf
Au 196.97 Au.upf
Tm 168.93 Tm.upf
La 138.91 La.upf
ATOMIC_POSITIONS angstrom
Ga 0.0000 2.6358 5.3412
Ga 2.2826 1.3179 2.0657
Au 2.2826 1.3179 5.2784
Au 0.0000 2.6358 2.1285
Tm 0.0000 0.0000 3.7035
La 0.0000 0.0000 0.0000
CELL_PARAMETERS angstrom
4.5653 0.0000 0.0000
-2.2826 3.9536 0.0000
0.0000 0.0000 7.4069
! E_tot (eV/atom): -4.466
! Density (g/cm3): 10.45
! Fermi-level density of states (states/eV/cell): 4.560


! Li5Ca2Zn2Pd, optimized geometry, DFT PBE-GGA; values from VASP
&SYSTEM
  ibrav = 0, nat = 20, ntyp = 4
/
ATOMIC_SPECIES
Ca 40.08 Ca.upf
Pd 106.42 Pd.upf
Li 6.94 Li.upf
Zn 65.41 Zn.upf
ATOMIC_POSITIONS angstrom
Ca 0.0000 6.9625 1.8785
Ca 0.0000 3.2055 8.2895
Ca 0.0000 8.2895 6.9625
Ca 0.0000 1.8785 3.2055
Pd 0.0000 0.0000 0.0000
Pd 0.0000 5.0840 5.0840
Li 1.9915 0.5282 8.2603
Li 1.9915 4.5558 3.1763
Li 1.9915 6.9917 4.5558
Li 1.9915 3.1763 5.6122
Li 1.9915 1.9077 0.5282
Li 1.9915 0.0000 5.0840
Li 1.9915 9.6398 1.9077
Li 1.9915 5.6122 6.9917
Li 1.9915 5.0840 0.0000
Li 1.9915 8.2603 9.6398
Zn 0.0000 6.2026 9.0494
Zn 0.0000 1.1186 6.2026
Zn 0.0000 9.0494 3.9654
Zn 0.0000 3.9654 1.1186
CELL_PARAMETERS angstrom
3.9830 0.0000 0.0000
0.0000 10.1680 0.0000
0.0000 0.0000 10.1680
! E_tot (eV/atom): -2.257
! Density (g/cm3): 2.84
! Fermi-level density of states (states/eV/cell): 10.660


! PaTlCu2, optimized geometry, DFT PBE-GGA; values from VASP
&SYSTEM
  ibrav = 0, nat = 4, ntyp = 3
/
ATOMIC_SPECIES
Pa 231.04 Pa.upf
Tl 204.38 Tl.upf
Cu 63.55 Cu.upf
ATOMIC_POSITIONS angstrom
Pa 4.7627 2.7497 1.9443
Tl 0.0000 0.0000 0.0000
Cu 2.3813 1.3749 0.9722
Cu 7.1440 4.1246 2.9165
CELL_PARAMETERS angstrom
4.7627 0.0000 0.0000
2.3813 4.1246 0.0000
2.3813 1.3749 3.8887
! E_tot (eV/atom): -4.932
! Density (g/cm3): 12.23
! Fermi-level density of states (states/eV/cell): 2.855


! TeSe2I2, optimized geometry, DFT PBE-GGA; values from VASP
&SYSTEM
  ibrav = 0, nat = 5, ntyp = 3
/
ATOMIC_SPECIES
Se 78.96 Se.upf
I 126.90 I.upf
Te 127.60 Te.upf
ATOMIC_POSITIONS angstrom
Se 3.7511 1.8755 6.0896
Se 1.8755 3.7511 6.0896
I 1.8755 1.8755 2.0313
I 3.7511 3.7511 10.1479
Te 0.0000 0.0000 0.0000
CELL_PARAMETERS angstrom
3.7511 0.0000 0.0000
0.0000 3.7511 0.0000
1.8755 1.8755 12.1792
! E_tot (eV/atom): -2.323
! Density (g/cm3): 5.23
! ΔE to the lowest computed polymorph (meV per atom): 218
! Uncorrected formation energy (eV per atom): 0.319
! Fermi-level density of states (states/eV/cell): 4.002


! Cd2CuRhI, optimized geometry, DFT PBE-GGA; values from VASP
&SYSTEM
  ibrav = 0, nat = 5, ntyp = 4
/
ATOMIC_SPECIES
Cu 63.55 Cu.upf
I 126.90 I.upf
Rh 102.91 Rh.upf
Cd 112.41 Cd.upf
ATOMIC_POSITIONS angstrom
Cu -0.4467 -2.2914 0.5142
I -3.7908 -1.3383 1.8566
Rh 0.0000 0.0000 0.0000
Cd -2.4180 0.2423 -1.0206
Cd -0.9262 0.7108 2.3630
CELL_PARAMETERS angstrom
-4.8359 0.4847 -2.0412
-0.8933 -4.5829 1.0283
-1.8523 1.4215 4.7261
! E_tot (eV/atom): -2.533
! Density (g/cm3): 6.48
! Uncorrected formation energy (eV per atom): 0.433
! Fermi-level density of states (states/eV/cell): 5.887


! Ba3LaRe2N6, optimized geometry, DFT PBE-GGA; values from VASP
&SYSTEM
  ibrav = 0, nat = 12, ntyp = 4
/
ATOMIC_SPECIES
Re 186.21 Re.upf
N 14.01 N.upf
Ba 137.33 Ba.upf
La 138.91 La.upf
ATOMIC_POSITIONS angstrom
Re 2.1961 -2.8462 1.9646
Re -1.9898 -6.2042 1.8238
N 0.5346 -2.1328 1.7962
N -2.8958 -6.5920 0.2985
N 2.4516 -4.5000 1.2593
N -0.3283 -6.9176 1.9922
N 3.1021 -2.4584 3.4899
N -2.2453 -4.5504 2.5291
Ba 0.0000 0.0000 0.0000
Ba -0.1702 -4.1926 -0.5480
Ba 0.3765 -4.8578 4.3364
La -1.8792 -2.0774 2.4494
CELL_PARAMETERS angstrom
-1.3453 -4.2222 -4.6131
5.3099 -0.6733 3.5027
-3.7584 -4.1549 4.8988
! E_tot (eV/atom): -7.886
! Density (g/cm3): 6.34
! Uncorrected formation energy (eV per atom): -0.758
! Fermi-level density of states (states/eV/cell): 5.597


! PrZn6, optimized geometry, DFT PBE-GGA; values from VASP
&SYSTEM
  ibrav = 0, nat = 28, ntyp = 2
/
ATOMIC_SPECIES
Zn 65.41 Zn.upf
Pr 140.91 Pr.upf
ATOMIC_POSITIONS angstrom
Zn 1.2934 7.0900 8.0600
Zn 0.0548 8.2524 3.3124
Zn 2.6415 4.9818 8.6868
Zn 1.2934 3.7053 10.5242
Zn 3.8801 7.5960 9.1898
Zn 2.5320 8.2524 3.3124
Zn 3.8801 8.3771 1.0047
Zn 3.8801 1.7328 2.6888
Zn 3.8801 6.1442 2.6856
Zn 0.0548 3.8410 2.0620
Zn 5.1187 4.9818 8.6868
Zn 1.2934 2.6786 8.0632
Zn 1.2934 8.1167 5.5990
Zn 2.5320 3.8410 2.0620
Zn 3.8801 0.7061 5.1498
Zn 3.8801 3.1846 6.9334
Zn 1.2934 1.2268 1.5590
Zn 3.8801 5.1175 0.2246
Zn 1.2934 5.6382 3.8154
Zn 1.2934 0.4458 9.7441
Zn 1.2934 4.8572 6.3791
Zn 2.6415 0.5704 7.4364
Zn 5.1187 0.5704 7.4364
Zn 3.8801 3.9656 4.3697
Pr 1.2934 2.3143 4.7405
Pr 3.8801 6.5085 6.0083
Pr 3.8801 2.0971 10.1149
Pr 1.2934 6.7257 0.6339
CELL_PARAMETERS angstrom
5.1735 0.0000 0.0000
0.0000 8.8228 0.0000
0.0000 0.0000 10.7488
! E_tot (eV/atom): -1.997
! Density (g/cm3): 7.22
! ΔE to the lowest computed polymorph (meV per atom): 0
! Fermi-level density of states (states/eV/cell): 14.302


! VCr8Mo2, optimized geometry, DFT PBE-GGA; values from VASP
&SYSTEM
  ibrav = 0, nat = 11, ntyp = 3
/
ATOMIC_SPECIES
Cr 52.00 Cr.upf
Mo 95.94 Mo.upf
V 50.94 V.upf
ATOMIC_POSITIONS angstrom
Cr 0.2872 0.2058 4.8979
Cr 0.9706 2.2374 8.5529
Cr 1.7115 4.1955 2.5913
Cr 1.2926 6.1534 4.2497
Cr 0.0098 4.1797 4.4424
Cr 1.5704 2.1796 4.7055
Cr -0.3057 4.2299 8.5526
Cr -0.1313 2.1637 6.5573
Mo 1.2939 4.4000 6.6171
Mo 0.2862 1.9593 2.5309
V 2.0150 0.1449 7.9136
CELL_PARAMETERS angstrom
2.9039 0.0392 0.1968
-0.4607 6.2160 1.4765
-0.9154 0.1075 7.9567
! E_tot (eV/atom): -9.512
! Density (g/cm3): 7.58
! Fermi-level density of states (states/eV/cell): 10.494


! Pa3Bi4, optimized geometry, DFT PBE-GGA; values from VASP
&SYSTEM
  ibrav = 0, nat = 14, ntyp = 2
/
ATOMIC_SPECIES
Pa 231.04 Pa.upf
Bi 208.98 Bi.upf
ATOMIC_POSITIONS angstrom
Pa 3.4036 3.3694 2.5011
Pa -0.6807 1.9254 1.6674
Pa 4.7651 -0.4813 4.1686
Pa -0.6807 6.2575 0.8337
Pa 0.6807 -1.9254 5.0023
Pa 0.6807 2.4067 5.8360
Bi -2.2941 -3.2443 5.6193
Bi -2.2941 2.5318 4.3852
Bi 5.5208 3.8507 0.0000
Bi 4.5131 0.6064 1.0504
Bi 1.4365 3.8507 0.0000
Bi -0.9326 -1.3189 2.2845
Bi 0.4288 4.5633 3.3348
Bi 1.7903 0.7125 3.3348
CELL_PARAMETERS angstrom
8.1687 0.0000 0.0000
-2.7229 7.7015 0.0000
-2.7229 -3.8507 6.6697
! E_tot (eV/atom): -6.457
! Density (g/cm3): 12.10
! Fermi-level density of states (states/eV/cell): 27.642


! LaAl2Br, optimized geometry, DFT PBE-GGA; values from VASP
&SYSTEM
  ibrav = 0, nat = 4, ntyp = 3
/
ATOMIC_SPECIES
Br 79.90 Br.upf
Al 26.98 Al.upf
La 138.91 La.upf
ATOMIC_POSITIONS angstrom
Br -1.5153 -0.9498 -3.1678
Al -1.3555 -2.7787 -0.6071
Al 0.1480 -4.1796 -2.9963
La -3.0199 0.4530 -0.7787
CELL_PARAMETERS angstrom
-3.1796 2.2819 -3.3394
0.1480 -4.1797 -2.9963
-1.3433 -0.4289 4.9498
! E_tot (eV/atom): -3.907
! Density (g/cm3): 4.70
! ΔE to the lowest computed polymorph (meV per atom): 204
! Uncorrected formation energy (eV per atom): -0.386
! Fermi-level density of states (states/eV/cell): 0.147


! CoSn2PdBr, optimized geometry, DFT PBE-GGA; values from VASP
&SYSTEM
  ibrav = 0, nat = 5, ntyp = 4
/
ATOMIC_SPECIES
Sn 118.71 Sn.upf
Pd 106.42 Pd.upf
Co 58.93 Co.upf
Br 79.90 Br.upf
ATOMIC_POSITIONS angstrom
Sn -1.4936 0.4498 2.3236
Sn -0.7924 -2.6841 0.0103
Pd -0.6063 -2.7256 3.5086
Co 1.6797 -0.4914 1.1748
Br 0.0000 0.0000 0.0000
CELL_PARAMETERS angstrom
-1.5848 -5.3682 0.0205
3.3593 -0.9827 2.3495
-2.9871 0.8996 4.6472
! E_tot (eV/atom): -3.494
! Density (g/cm3): 6.07
! Uncorrected formation energy (eV per atom): 0.902
! Fermi-level density of states (states/eV/cell): 5.353


! Mn2InPt, optimized geometry, DFT PBE-GGA; values from VASP
&SYSTEM
  ibrav = 0, nat = 4, ntyp = 3
/
ATOMIC_SPECIES
Mn 54.94 Mn.upf
In 114.82 In.upf
Pt 195.08 Pt.upf
ATOMIC_POSITIONS angstrom
Mn 0.0000 0.0000 0.0000
Mn -1.9998 -1.9872 -0.5561
In 0.2071 -1.6531 -2.2620
Pt -0.0924 -2.3949 1.4656
CELL_PARAMETERS angstrom
-2.2993 -2.7290 3.1715
-1.7004 -1.2453 -4.2838
2.1146 -2.0608 -0.2402
! E_tot (eV/atom): -6.835
! Density (g/cm3): 10.74
! Fermi-level density of states (states/eV/cell): 2.575


! NaTmTl, optimized geometry, DFT PBE-GGA; values from VASP
&SYSTEM
  ibrav = 0, nat = 3, ntyp = 3
/
ATOMIC_SPECIES
Tl 204.38 Tl.upf
Na 22.99 Na.upf
Tm 168.93 Tm.upf
ATOMIC_POSITIONS angstrom
Tl 1.8846 1.8846 5.5373
Na 1.8846 1.8846 1.2559
Tm 0.0000 0.0000 3.8032
CELL_PARAMETERS angstrom
3.7693 0.0000 0.0000
0.0000 3.7693 0.0000
-1.8846 -1.8846 6.2332
! E_tot (eV/atom): -2.692
! Density (g/cm3): 7.43
! ΔE to the lowest computed polymorph (meV per atom): 138
! Fermi-level density of states (states/eV/cell): 3.218


! Ca3MgIn2, optimized geometry, DFT PBE-GGA; values from VASP
&SYSTEM
  ibrav = 0, nat = 6, ntyp = 3
/
ATOMIC_SPECIES
Ca 40.08 Ca.upf
In 114.82 In.upf
Mg 24.30 Mg.upf
ATOMIC_POSITIONS angstrom
Ca 0.0000 0.0000 0.0000
Ca -0.8471 1.9535 3.1102
Ca -1.7490 4.0333 6.4214
In -0.4182 -1.3435 3.0497
In -2.1539 2.6592 9.4225
Mg -1.2860 0.6578 6.2361
CELL_PARAMETERS angstrom
-2.6772 -2.6759 0.9516
2.7012 -1.9952 1.9889
-2.5961 5.9868 9.5316
! E_tot (eV/atom): -2.532
! Density (g/cm3): 3.53
! Fermi-level density of states (states/eV/cell): 3.851


! NbRe2Ag, optimized geometry, DFT PBE-GGA; values from VASP
&SYSTEM
  ibrav = 0, nat = 8, ntyp = 3
/
ATOMIC_SPECIES
Ag 107.87 Ag.upf
Re 186.21 Re.upf
Nb 92.91 Nb.upf
ATOMIC_POSITIONS angstrom
Ag 7.3190 3.6595 1.3443
Ag 0.0000 0.0000 0.0000
Re 5.4892 5.6064 2.0164
Re 5.3721 1.8297 0.6721
Re 9.1487 9.0316 2.0164
Re 1.9469 5.4892 0.6721
Nb 3.6595 7.3190 1.3443
Nb 3.6595 3.6595 0.0000
CELL_PARAMETERS angstrom
7.3190 0.0000 0.0000
0.0000 7.3190 0.0000
3.6595 3.6595 2.6886
! E_tot (eV/atom): -8.342
! Density (g/cm3): 13.22
! ΔE to the lowest computed polymorph (meV per atom): 532
! Fermi-level density of states (states/eV/cell): 7.911


! Ta2MoPb, optimized geometry, DFT PBE-GGA; values from VASP
&SYSTEM
  ibrav = 0, nat = 4, ntyp = 3
/
ATOMIC_SPECIES
Mo 95.94 Mo.upf
Ta 180.95 Ta.upf
Pb 207.20 Pb.upf
ATOMIC_POSITIONS angstrom
Mo -1.1017 -2.4081 1.9610
Ta 1.6579 -1.5357 1.7868
Ta 0.0000 0.0000 0.0000
Pb 1.6684 1.2626 2.5456
CELL_PARAMETERS angstrom
-1.1122 -5.2064 1.2022
4.4280 2.1350 2.3714
-1.0912 0.3903 2.7199
! E_tot (eV/atom): -9.123
! Density (g/cm3): 14.60
! Fermi-level density of states (states/eV/cell): 1.739


! Pr2NdErTm5, optimized geometry, DFT PBE-GGA; values from VASP
&SYSTEM
  ibrav = 0, nat = 18, ntyp = 4
/
ATOMIC_SPECIES
Tm 168.93 Tm.upf
Pr 140.91 Pr.upf
Er 167.26 Er.upf
Nd 144.24 Nd.upf
ATOMIC_POSITIONS angstrom
Tm -2.6960 -5.2597 -3.3555
Tm 0.0000 0.0000 0.0000
Tm 3.8199 -4.4951 2.4227
Tm -4.3262 -4.3568 -0.0698
Tm 1.7357 -6.0323 -1.1251
Tm -5.0052 -7.9976 -0.8126
Tm 6.1290 -1.7572 -0.1201
Tm -2.9209 -6.4604 2.7352
Tm 4.0448 -3.2944 -3.6680
Tm -0.6118 -3.7225 0.1924
Pr -2.2794 -2.0370 -1.6543
Pr -2.9588 -3.4669 2.9994
Pr -6.3730 -6.6767 1.5147
Pr -5.6936 -5.2467 -3.1390
Er 0.7811 -5.1438 2.5843
Er 0.3428 -4.6109 -3.5171
Nd -1.6012 -7.0558 -0.5013
Nd 2.7250 -2.6990 -0.4315
CELL_PARAMETERS angstrom
-3.8880 -4.8897 6.0316
-4.7644 -3.8239 -6.1712
9.7763 -1.0411 -0.7931
! E_tot (eV/atom): -4.317
! Density (g/cm3): 8.20
! Fermi-level density of states (states/eV/cell): 19.985


! Fe2PPt2, optimized geometry, DFT PBE-GGA; values from VASP
&SYSTEM
  ibrav = 0, nat = 10, ntyp = 3
/
ATOMIC_SPECIES
Fe 55.84 Fe.upf
P 30.97 P.upf
Pt 195.08 Pt.upf
ATOMIC_POSITIONS angstrom
Fe 0.0349 -0.8691 -2.0278
Fe -0.5618 -4.9589 -3.5741
Fe -0.5919 -3.6435 -0.7446
Fe 0.0650 -2.1845 -4.8573
P -0.2635 -2.9140 -2.8009
P 0.0000 0.0000 0.0000
Pt 1.7738 -4.2761 -4.5041
Pt 1.7734 -2.2929 -0.7100
Pt 2.2041 -1.4262 -3.5784
Pt 1.3431 -5.1428 -1.6358
CELL_PARAMETERS angstrom
-1.0342 -5.6331 0.1005
0.5073 -0.1948 -5.7023
4.0741 -0.7411 0.3878
! E_tot (eV/atom): -6.925
! Density (g/cm3): 12.97
! Fermi-level density of states (states/eV/cell): 10.104